Entry 1:
Compound: Rb2HSeBr6
Source: the Alexandria database
Functional: GGA-PBE
Structure: relaxed

Computed properties:
total DFT energy (no corrections): -2.659 eV per atom
total moment: 0.00 μB per cell
crystal system: tetragonal

```
10
Lattice="8.356 0.000 0.000 0.000 8.356 0.000 4.178 4.178 4.734" Properties=species:S:1:pos:R:3 pbc="T T T"
H 4.178 4.178 0.000
Se 0.000 0.000 0.000
Br 4.178 4.178 1.708
Br 8.356 8.356 3.026
Br 1.830 1.830 0.000
Br 6.526 6.526 0.000
Br 6.526 1.830 0.000
Br 1.830 6.526 0.000
Rb 8.356 4.178 2.367
Rb 4.178 8.356 2.367
```

***

Entry 2:
Compound: Pu6FeGe5
Source: the Alexandria database
Functional: GGA-PBE
Structure: relaxed

Computed properties:
total DFT energy (no corrections): -10.097 eV per atom
calculated formation energy: -301 meV per atom
total moment: 8.74 μB per cell
crystal system: triclinic

```
12
Lattice="-3.153 -1.153 3.890 -3.856 -3.704 -3.975 1.861 -7.871 -0.242" Properties=species:S:1:pos:R:3 pbc="T T T"
Ge -1.593 -6.883 2.027
Ge -1.696 -4.149 -0.327
Ge -1.928 -1.852 -1.987
Ge -3.452 -8.579 0.001
Ge -3.554 -5.845 -2.353
Fe 0.000 0.000 0.000
Pu -4.214 -5.726 0.619
Pu -2.253 -3.987 2.592
Pu -2.615 -11.074 -1.496
Pu -2.533 -1.654 1.170
Pu -2.895 -8.741 -2.918
Pu -0.934 -7.002 -0.945
```

***

total moment of number 2 (Pu6FeGe5)? 8.74 μB per cell